1.
# Pr3GdBr2N2

Crystalline Pr3GdBr2N2 at its relaxed geometry (PBE, OQMD).

M_tot (Bohr magnetons per cell): 0.01
E_tot (eV/atom): -6.29
Space group: P3m1 (156)

```
Pr3GdBr2N2
1.0
3.7033 0.0000 0.0000
-1.8517 3.2072 0.0000
0.0000 0.0000 14.6456
Pr Gd Br N
3 1 2 2
direct
0.0000 0.0000 0.0000
0.0000 0.0000 0.3196
0.6667 0.3333 0.5038
0.6667 0.3333 0.8219
0.0000 0.0000 0.6694
0.6667 0.3333 0.1588
0.3333 0.6667 0.4119
0.3333 0.6667 0.8945
```

=====

2.
# CsHoFeS3

Crystalline CsHoFeS3 at its relaxed geometry (PBE, OQMD).

M_tot (Bohr magnetons per cell): 16.00
E_tot (eV/atom): -5.71
Space group: Pnma (62)

```
CsHoFeS3
1.0
15.9250 0.0000 0.0000
0.0000 3.9829 0.0000
0.0000 0.0000 10.6656
Cs Ho Fe S
4 4 4 12
direct
0.2371 0.2500 0.0247
0.2629 0.7500 0.5247
0.7371 0.2500 0.4753
0.7629 0.7500 0.9753
0.0138 0.2500 0.3452
0.4862 0.7500 0.8452
0.5138 0.2500 0.1548
0.9862 0.7500 0.6548
0.0109 0.7500 0.0872
0.4891 0.2500 0.5872
0.5109 0.7500 0.4128
0.9891 0.2500 0.9128
0.0705 0.7500 0.8866
0.0876 0.2500 0.5710
0.1116 0.7500 0.2403
0.3884 0.2500 0.7403
0.4124 0.7500 0.0710
0.4295 0.2500 0.3866
0.5705 0.7500 0.6134
0.5876 0.2500 0.9290
0.6116 0.7500 0.2597
0.8884 0.2500 0.7597
0.9124 0.7500 0.4290
0.9295 0.2500 0.1134
```

=====

3.
# Hf2GaN

Crystalline Hf2GaN at its relaxed geometry (PBE, OQMD).

M_tot (Bohr magnetons per cell): 0.00
E_tot (eV/atom): -8.96
Space group: P-6m2 (187)

```
Hf2GaN
1.0
3.2085 0.0000 0.0000
-1.6042 2.7786 0.0000
0.0000 0.0000 13.9220
Hf Ga N
4 2 2
direct
0.0000 0.0000 0.1587
0.0000 0.0000 0.8413
0.6667 0.3333 0.3402
0.6667 0.3333 0.6598
0.0000 0.0000 0.5000
0.6667 0.3333 0.0000
0.3333 0.6667 0.2494
0.3333 0.6667 0.7506
```

=====

4.
# DyYLu2

Crystalline DyYLu2 at its relaxed geometry (PBE, OQMD).

M_tot (Bohr magnetons per cell): 0.21
Space group: Ama2 (40)
E_form (eV/atom): 0.00

```
DyYLu2
1.0
5.5685 0.0000 0.0000
0.0000 6.1878 3.5730
0.0000 -6.1878 3.5730
Dy Y Lu
2 2 4
direct
0.2500 0.1668 0.8332
0.7500 0.8332 0.1668
0.2500 0.6659 0.8324
0.7500 0.8324 0.6659
0.2500 0.1675 0.3338
0.2500 0.6661 0.3335
0.7500 0.3335 0.6661
0.7500 0.3338 0.1675
```

=====

5.
# LuGeTe3Au

Crystalline LuGeTe3Au at its relaxed geometry (PBE, OQMD).

M_tot (Bohr magnetons per cell): 0.01
E_tot (eV/atom): -4.12
Space group: C2/m (12)

```
LuGeTe3Au
1.0
9.8124 -2.0488 0.0000
9.8124 2.0488 0.0000
-1.4854 0.0000 8.4426
Lu Ge Te Au
2 2 6 2
direct
0.1605 0.1605 0.0907
0.8395 0.8395 0.9093
0.1196 0.1196 0.5659
0.8804 0.8804 0.4341
0.0000 0.0000 0.0000
0.3112 0.3112 0.6347
0.3220 0.3220 0.1590
0.5000 0.5000 0.5000
0.6780 0.6780 0.8410
0.6888 0.6888 0.3653
0.4443 0.4443 0.7855
0.5557 0.5557 0.2145
```

=====

6.
# Li2LuScSn2Pd2

Crystalline Li2LuScSn2Pd2 at its relaxed geometry (PBE, OQMD).

M_tot (Bohr magnetons per cell): 0.00
E_tot (eV/atom): -4.92
Space group: P-4m2 (115)

```
Li2LuScSn2Pd2
1.0
4.6595 0.0000 0.0000
0.0000 4.6595 0.0000
0.0000 0.0000 6.5924
Li Lu Sc Sn Pd
2 1 1 2 2
direct
0.0000 0.5000 0.2419
0.5000 0.0000 0.7581
0.0000 0.0000 0.5000
0.5000 0.5000 0.0000
0.0000 0.0000 0.0000
0.5000 0.5000 0.5000
0.0000 0.5000 0.7560
0.5000 0.0000 0.2440
```

=====

- Among the records above, which one has the highest M_tot?
  CsHoFeS3